(1)
{
  "formula": "BaSrCa2Zn",
  "functional": "PBE",
  "state": "optimized geometry",
  "magnetic_moment_mub_per_cell": 0.0,
  "e_tot_ev_per_atom": -1.80,
  "volume_a3_per_atom": 44.79,
  "lattice_angstrom": [[6.0140, 0.0000, 0.0000], [0.0000, 6.0140, 0.0000], [0.0000, 0.0000, 6.1926]],
  "species": ["Ba", "Sr", "Ca", "Ca", "Zn"],
  "fractional_positions": [[0.5000, 0.5000, 0.5000], [0.0000, 0.0000, 0.5000], [0.5000, 0.0000, 0.0000], [0.0000, 0.5000, 0.0000], [0.0000, 0.0000, 0.0000]]
}

***

(2)
{
  "formula": "BaSrCa2Zn",
  "functional": "PBE",
  "state": "optimized geometry",
  "magnetic_moment_mub_per_cell": 0.0,
  "e_tot_ev_per_atom": -1.78,
  "volume_a3_per_atom": 45.70,
  "lattice_angstrom": [[-4.1781, 0.7528, -4.2864], [4.0917, -1.3448, -4.2245], [-1.5429, -6.0699, 0.4379]],
  "species": ["Ca", "Ca", "Sr", "Zn", "Ba"],
  "fractional_positions": [[0.0000, 0.5000, 0.0000], [0.5000, 0.0000, 0.0000], [0.5000, 0.5000, 0.5000], [0.0000, 0.0000, 0.0000], [0.0000, 0.0000, 0.5000]]
}

***

(3)
{
  "formula": "BaCaTa",
  "functional": "PBE",
  "state": "optimized geometry",
  "magnetic_moment_mub_per_cell": 4.2,
  "e_tot_ev_per_atom": -3.87,
  "volume_a3_per_atom": 41.72,
  "lattice_angstrom": [[-4.1912, 2.1578, -3.0502], [-5.3285, -1.1804, 1.3189], [-3.3000, 3.9832, 2.1842]],
  "species": ["Ca", "Ta", "Ba"],
  "fractional_positions": [[0.5000, 0.5000, 0.5000], [0.7500, 0.7500, 0.7500], [0.0000, 0.0000, 0.0000]]
}

***

(4)
{
  "formula": "BaCa3Ta",
  "functional": "PBE",
  "state": "optimized geometry",
  "magnetic_moment_mub_per_cell": 0.0,
  "e_tot_ev_per_atom": -3.21,
  "volume_a3_per_atom": 40.92,
  "lattice_angstrom": [[-2.2607, 4.1959, 3.4647], [-4.9267, 0.0145, -3.2323], [-2.3101, -4.1370, 3.5027]],
  "species": ["Ca", "Ca", "Ca", "Ta", "Ba"],
  "fractional_positions": [[0.0000, 0.0000, 0.5000], [0.0000, 0.5000, 0.0000], [0.5000, 0.0000, 0.0000], [0.0000, 0.0000, 0.0000], [0.5000, 0.5000, 0.5000]]
}

***

(5)
{
  "formula": "BaCaTa2",
  "functional": "PBE",
  "state": "optimized geometry",
  "magnetic_moment_mub_per_cell": 1.1,
  "e_tot_ev_per_atom": -5.70,
  "volume_a3_per_atom": 30.93,
  "lattice_angstrom": [[4.1184, 0.0000, 0.0000], [0.0000, 4.1184, 0.0000], [0.0000, 0.0000, 7.2953]],
  "species": ["Ta", "Ta", "Ca", "Ba"],
  "fractional_positions": [[0.0000, 0.0000, 0.5844], [0.0000, 0.0000, 0.9156], [0.5000, 0.5000, 0.7500], [0.5000, 0.5000, 0.2500]]
}

***

(6)
{
  "formula": "BaCaTa2",
  "functional": "PBE",
  "state": "optimized geometry",
  "magnetic_moment_mub_per_cell": 0.0,
  "e_tot_ev_per_atom": -5.94,
  "volume_a3_per_atom": 28.95,
  "lattice_angstrom": [[-5.3300, 2.0038, -1.3873], [-5.5639, -1.0816, -1.4908], [-2.0727, -0.0541, 6.2954]],
  "species": ["Ta", "Ta", "Ba", "Ca"],
  "fractional_positions": [[0.5066, 0.5066, 0.4182], [0.9934, 0.9934, 0.0818], [0.7500, 0.7500, 0.7500], [0.2500, 0.2500, 0.2500]]
}

***

(7)
{
  "formula": "BaCaTa2",
  "functional": "PBE",
  "state": "optimized geometry",
  "magnetic_moment_mub_per_cell": 0.2,
  "e_tot_ev_per_atom": -6.18,
  "volume_a3_per_atom": 32.51,
  "lattice_angstrom": [[4.8623, -0.0062, -0.0044], [3.7508, 3.0940, -0.0044], [0.4452, 0.1596, 8.6314]],
  "species": ["Ba", "Ta", "Ta", "Ca"],
  "fractional_positions": [[0.4959, 0.4959, 0.5622], [0.0056, 0.0056, 0.9225], [0.7370, 0.7370, 0.8491], [0.2614, 0.2614, 0.1662]]
}

***

(8)
{
  "formula": "BaCaTa",
  "functional": "PBE",
  "state": "optimized geometry",
  "magnetic_moment_mub_per_cell": 0.2,
  "e_tot_ev_per_atom": -4.25,
  "volume_a3_per_atom": 29.76,
  "lattice_angstrom": [[5.7779, 0.0000, 0.0000], [-2.8889, 5.0038, 0.0000], [0.0000, 0.0000, 3.0877]],
  "species": ["Ba", "Ca", "Ta"],
  "fractional_positions": [[0.0000, 0.0000, 0.1668], [0.6667, 0.3333, 0.1662], [0.3333, 0.6667, 0.6669]]
}